No. 1
KLiTc, optimized geometry, DFT GGA-PBE; distance to the lowest polymorph of the same formula = 0.717 eV per atom; total magnetization = 3.18 μB per formula unit; ΔE_f = 1.577 eV/atom
1.0
0.0000 3.5466 3.5466
3.5466 0.0000 3.5466
3.5466 3.5466 0.0000
K Li Tc
1 1 1
direct
0.0000 0.0000 0.0000
0.7500 0.7500 0.7500
0.5000 0.5000 0.5000


No. 2
CaRe2Ni, optimized geometry, DFT GGA-PBE; distance to the lowest polymorph of the same formula = 0.400 eV per atom; total magnetization = 0.00 μB per formula unit; ΔE_f = 0.667 eV/atom
1.0
2.6281 -4.7121 0.0000
2.6281 4.7121 0.0000
0.0000 0.0000 2.6081
Ca Re Ni
1 2 1
direct
0.0000 0.0000 0.0000
0.0000 0.5000 0.5000
0.5000 0.0000 0.5000
0.5000 0.5000 0.0000


No. 3
Ti2S3O12, optimized geometry, DFT GGA-PBE; total magnetization = 2.00 μB per formula unit; raw formation energy = -1785 meV/atom
1.0
4.3431 2.5075 7.4306
-4.3431 2.5075 7.4306
0.0000 -5.0150 7.4306
Ti S O
4 6 24
direct
0.1453 0.1453 0.1453
0.3540 0.3540 0.3540
0.6460 0.6460 0.6460
0.8547 0.8547 0.8547
0.0387 0.4606 0.7506
0.2494 0.9613 0.5394
0.4606 0.7506 0.0387
0.5394 0.2494 0.9613
0.7506 0.0387 0.4606
0.9613 0.5394 0.2494
0.0094 0.6231 0.7809
0.0723 0.2871 0.9119
0.0881 0.9277 0.7129
0.1297 0.5123 0.2683
0.2037 0.4432 0.5786
0.2191 0.9906 0.3769
0.2683 0.1297 0.5123
0.2871 0.9119 0.0723
0.3769 0.2191 0.9906
0.4214 0.7963 0.5568
0.4432 0.5786 0.2037
0.4877 0.7317 0.8703
0.5123 0.2683 0.1297
0.5568 0.4214 0.7963
0.5786 0.2037 0.4432
0.6231 0.7809 0.0094
0.7129 0.0881 0.9277
0.7317 0.8703 0.4877
0.7809 0.0094 0.6231
0.7963 0.5568 0.4214
0.8703 0.4877 0.7317
0.9119 0.0723 0.2871
0.9277 0.7129 0.0881
0.9906 0.3769 0.2191


No. 4
SrY2As2, optimized geometry, DFT GGA-PBE; distance to the lowest polymorph of the same formula = 0.000 eV per atom; total magnetization = 0.00 μB per formula unit; ΔE_f = -1.053 eV/atom
1.0
8.0933 0.0000 0.0000
0.0000 8.0933 0.0000
0.0000 0.0000 3.9722
Sr Y As
2 4 4
direct
0.0000 0.0000 0.0000
0.5000 0.5000 0.0000
0.1529 0.3471 0.5000
0.3471 0.8471 0.5000
0.6529 0.1529 0.5000
0.8471 0.6529 0.5000
0.1468 0.6468 0.0000
0.3532 0.1468 0.0000
0.6468 0.8532 0.0000
0.8532 0.3532 0.0000


No. 5
RbIn6Se8, optimized geometry, DFT GGA-PBE; distance to the lowest polymorph of the same formula = 0.000 eV per atom; total magnetization = 0.00 μB per formula unit; raw formation energy = -509 meV/atom
1.0
5.8832 3.3967 3.8966
-5.8832 3.3967 3.8966
0.0000 -6.7934 3.8966
Rb In Se
1 6 8
direct
0.0000 0.0000 0.0000
0.1715 0.3108 0.6178
0.3108 0.6178 0.1715
0.3822 0.8285 0.6892
0.6178 0.1715 0.3108
0.6892 0.3822 0.8285
0.8285 0.6892 0.3822
0.1579 0.6151 0.8350
0.1650 0.8421 0.3849
0.3270 0.3270 0.3270
0.3849 0.1650 0.8421
0.6151 0.8350 0.1579
0.6730 0.6730 0.6730
0.8350 0.1579 0.6151
0.8421 0.3849 0.1650


No. 6
Al3TcNi, optimized geometry, DFT GGA-PBE; distance to the lowest polymorph of the same formula = 0.000 eV per atom; total magnetization = 1.67 μB per formula unit; ΔE_f = 0.363 eV/atom
1.0
4.3435 0.0000 0.0000
0.0000 4.3435 0.0000
0.0000 0.0000 4.3435
Al Tc Ni
3 1 1
direct
0.0000 0.0000 0.5000
0.0000 0.5000 0.0000
0.5000 0.0000 0.0000
0.5000 0.5000 0.5000
0.0000 0.0000 0.0000


No. 7
Co3HgAs, optimized geometry, DFT GGA-PBE; distance to the lowest polymorph of the same formula = 0.000 eV per atom; total magnetization = 2.72 μB per formula unit; ΔE_f = 0.598 eV/atom
1.0
4.3486 0.0000 0.0000
0.0000 4.3486 0.0000
0.0000 0.0000 4.3486
Co Hg As
3 1 1
direct
0.0000 0.0000 0.5000
0.0000 0.5000 0.0000
0.5000 0.0000 0.0000
0.5000 0.5000 0.5000
0.0000 0.0000 0.0000


No. 8
BaThTaN3, optimized geometry, DFT GGA-PBE; total magnetization = 0.00 μB per formula unit; raw formation energy = -1013 meV/atom
1.0
7.6294 0.0000 0.0000
0.0000 3.6702 0.0000
-1.4323 0.0000 9.1808
Ba Th Ta N
2 2 2 6
direct
0.1749 0.2500 0.2038
0.8251 0.7500 0.7962
0.1852 0.2500 0.6026
0.8148 0.7500 0.3974
0.4163 0.7500 0.8880
0.5837 0.2500 0.1120
0.1203 0.7500 0.4295
0.1806 0.7500 0.7849
0.4648 0.7500 0.1308
0.5352 0.2500 0.8692
0.8194 0.2500 0.2151
0.8797 0.2500 0.5705


No. 9
MgAs2Au, optimized geometry, DFT GGA-PBE; total magnetization = 0.00 μB per formula unit; ΔE_f = 0.069 eV/atom
1.0
3.1172 0.0000 0.0000
0.0000 3.1172 0.0000
0.0000 0.0000 7.9171
Mg As Au
1 2 1
direct
0.0000 0.0000 0.0000
0.5000 0.5000 0.2451
0.5000 0.5000 0.7549
0.0000 0.0000 0.5000


No. 10
Pm2MgAg7, optimized geometry, DFT GGA-PBE; total magnetization = 0.00 μB per formula unit; ΔE_f = 0.243 eV/atom
1.0
0.0000 5.0078 5.0078
5.0078 0.0000 5.0078
5.0078 5.0078 0.0000
Pm Mg Ag
2 1 7
direct
0.2500 0.2500 0.2500
0.7500 0.7500 0.7500
0.0000 0.0000 0.0000
0.2446 0.2446 0.7554
0.2446 0.7554 0.2446
0.2446 0.7554 0.7554
0.5000 0.5000 0.5000
0.7554 0.2446 0.2446
0.7554 0.2446 0.7554
0.7554 0.7554 0.2446


No. 11
PmErMnZn, optimized geometry, DFT GGA-PBE; total magnetization = 2.97 μB per formula unit; ΔE_f = -0.025 eV/atom
1.0
0.0000 3.5783 3.5783
3.5783 0.0000 3.5783
3.5783 3.5783 0.0000
Pm Er Mn Zn
1 1 1 1
direct
0.0000 0.0000 0.0000
0.5000 0.5000 0.5000
0.7500 0.7500 0.7500
0.2500 0.2500 0.2500


No. 12
PdPbO2, optimized geometry, DFT GGA-PBE; total magnetization = 0.00 μB per formula unit; raw formation energy = -795 meV/atom
1.0
-2.7644 4.7968 2.3907
2.7644 -4.7968 2.3907
2.7644 4.7968 -2.3907
Pd Pb O
2 2 4
direct
0.0000 0.0000 0.0000
0.5000 0.0000 0.5000
0.2718 0.5218 0.7500
0.7282 0.4782 0.2500
0.1502 0.0000 0.6502
0.1502 0.5000 0.1502
0.8498 0.0000 0.3498
0.8498 0.5000 0.8498


No. 13
TbDyTl2S4, optimized geometry, DFT GGA-PBE; total magnetization = 0.00 μB per formula unit; raw formation energy = -1490 meV/atom
1.0
6.9994 0.0000 0.0000
0.0000 4.0407 0.0000
-2.3312 0.0000 7.5207
Tb Dy Tl S
1 1 2 4
direct
0.0000 0.0000 0.0000
0.5000 0.5000 0.0000
0.0000 0.5000 0.5000
0.5000 0.0000 0.5000
0.2338 0.5000 0.1984
0.2685 0.0000 0.8021
0.7315 0.0000 0.1979
0.7662 0.5000 0.8016


No. 14
InSe2SN, optimized geometry, DFT GGA-PBE; distance to the lowest polymorph of the same formula = 0.548 eV per atom; total magnetization = 1.99 μB per formula unit; raw formation energy = 1257 meV/atom
1.0
5.4596 0.0000 0.0000
0.0000 5.4596 0.0000
0.0000 0.0000 4.1871
In Se S N
1 2 1 1
direct
0.0000 0.0000 0.0000
0.0000 0.5000 0.0000
0.5000 0.0000 0.0000
0.5000 0.5000 0.5000
0.0000 0.0000 0.5000


No. 15
LaYCr3, optimized geometry, DFT GGA-PBE; distance to the lowest polymorph of the same formula = 0.433 eV per atom; total magnetization = 0.00 μB per formula unit; ΔE_f = 1.830 eV/atom
1.0
4.7797 0.0000 0.0000
0.0000 4.7797 0.0000
0.0000 0.0000 4.7797
La Y Cr
1 1 3
direct
0.0000 0.0000 0.0000
0.5000 0.5000 0.5000
0.0000 0.5000 0.5000
0.5000 0.0000 0.5000
0.5000 0.5000 0.0000


No. 16
Rb2IrSI6, optimized geometry, DFT GGA-PBE; total magnetization = 0.16 μB per formula unit; raw formation energy = -430 meV/atom
1.0
-4.1278 4.1278 5.5270
4.1278 -4.1278 5.5270
4.1278 4.1278 -5.5270
Rb Ir S I
2 1 1 6
direct
0.2500 0.7500 0.5000
0.7500 0.2500 0.5000
0.0000 0.0000 0.0000
0.5000 0.5000 0.0000
0.2329 0.2329 0.4657
0.2329 0.7671 0.0000
0.2490 0.2490 0.0000
0.7510 0.7510 0.0000
0.7671 0.2329 0.0000
0.7671 0.7671 0.5343


No. 17
CuRe3C, optimized geometry, DFT GGA-PBE; distance to the lowest polymorph of the same formula = 2.916 eV per atom; total magnetization = 0.00 μB per formula unit; ΔE_f = 3.401 eV/atom
1.0
4.4308 0.0000 0.0000
0.0000 4.4308 0.0000
0.0000 0.0000 4.4308
Cu Re C
1 3 1
direct
0.0000 0.0000 0.0000
0.0000 0.0000 0.5000
0.0000 0.5000 0.0000
0.5000 0.0000 0.0000
0.5000 0.5000 0.5000


No. 18
Sr2TlAu, optimized geometry, DFT GGA-PBE; distance to the lowest polymorph of the same formula = 0.245 eV per atom; total magnetization = 0.00 μB per formula unit; ΔE_f = -0.320 eV/atom
1.0
-4.3663 4.3663 3.8538
4.3663 -4.3663 3.8538
4.3663 4.3663 -3.8538
Sr Tl Au
4 2 2
direct
0.0930 0.6250 0.9680
0.3750 0.3430 0.4680
0.6570 0.1250 0.0320
0.8750 0.9070 0.5320
0.2500 0.7500 0.5000
0.5000 0.5000 0.0000
0.0000 0.0000 0.0000
0.7500 0.2500 0.5000


No. 19
Sm2ThUC4, optimized geometry, DFT GGA-PBE; total magnetization = 0.00 μB per formula unit; ΔE_f = -0.151 eV/atom
1.0
6.3164 0.0000 0.0000
0.0000 3.7020 0.0000
-2.0922 0.0000 6.0059
Sm Th U C
2 1 1 4
direct
0.0000 0.0000 0.0000
0.0000 0.5000 0.5000
0.5000 0.0000 0.5000
0.5000 0.5000 0.0000
0.2796 0.5000 0.2286
0.2817 0.0000 0.7775
0.7183 0.0000 0.2225
0.7204 0.5000 0.7714


No. 20
PrAlZn, optimized geometry, DFT GGA-PBE; total magnetization = 0.00 μB per formula unit; ΔE_f = -0.426 eV/atom
1.0
5.3562 -2.3038 0.0000
5.3562 2.3038 0.0000
-5.2114 0.0000 5.5066
Pr Al Zn
2 2 2
direct
0.0374 0.0374 0.2918
0.9626 0.9626 0.7082
0.3369 0.3369 0.8891
0.6631 0.6631 0.1109
0.3349 0.3349 0.2801
0.6651 0.6651 0.7199